No. 1
## BeReP2 (PBE-GGA)

Data for a relaxed structure of BeReP2.

Crystal system   tetragonal
Total energy   -0.48471 Ry per atom
Energy above the most stable polymorph in this dataset   185.6 meV per atom

CIF file:
```
data_BeReP2
_chemical_formula_sum 'Be1 Re1 P2'
_symmetry_space_group_name_H-M 'P 4/m m m'
_symmetry_Int_Tables_number 123
_symmetry_space_group_name_Hall '-P 4 2'
_cell_length_a 3.037
_cell_length_b 3.037
_cell_length_c 5.449
_cell_angle_alpha 90.00
_cell_angle_beta 90.00
_cell_angle_gamma 90.00
loop_
_atom_site_label
_atom_site_type_symbol
_atom_site_fract_x
_atom_site_fract_y
_atom_site_fract_z
Be1 Be 0.000 0.000 0.000
Re1 Re 0.000 0.000 0.500
P1 P 0.500 0.500 0.248
```

***

No. 2
## BeReP2 (PBE-GGA)

Data for a relaxed structure of BeReP2.

Crystal system   orthorhombic
Total energy   -0.48341 Ry per atom
Energy above the most stable polymorph in this dataset   203.2 meV per atom

CIF file:
```
data_BeReP2
_chemical_formula_sum 'Be1 Re1 P2'
_symmetry_space_group_name_H-M 'P m m 2'
_symmetry_Int_Tables_number 25
_cell_length_a 2.973
_cell_length_b 3.579
_cell_length_c 4.837
_cell_angle_alpha 90.00
_cell_angle_beta 90.00
_cell_angle_gamma 90.00
loop_
_symmetry_equiv_pos_as_xyz
'x,y,z'
'-x,-y,z'
'-x,y,z'
'x,-y,z'
loop_
_atom_site_label
_atom_site_type_symbol
_atom_site_fract_x
_atom_site_fract_y
_atom_site_fract_z
Be1 Be 0.000 0.000 0.000
Re1 Re 0.500 0.500 0.656
P1 P 0.000 0.000 0.491
P2 P 0.500 0.500 0.155
```

***

No. 3
## BeRePRu (PBE-GGA)

Data for a relaxed structure of BeRePRu.

Crystal system   cubic
Total energy   -0.58085 Ry per atom

CIF file:
```
data_BeRePRu
_chemical_formula_sum 'Be4 Re4 P4 Ru4'
_symmetry_space_group_name_H-M 'F -4 3 m'
_symmetry_Int_Tables_number 216
_symmetry_space_group_name_Hall 'F -4 2 3'
_cell_length_a 5.745
_cell_length_b 5.745
_cell_length_c 5.745
_cell_angle_alpha 90.00
_cell_angle_beta 90.00
_cell_angle_gamma 90.00
loop_
_atom_site_label
_atom_site_type_symbol
_atom_site_fract_x
_atom_site_fract_y
_atom_site_fract_z
Be1 Be 0.000 0.000 0.000
Re1 Re 0.250 0.250 0.250
P1 P 0.000 0.000 0.500
Ru1 Ru 0.250 0.250 0.750
```

***

No. 4
## BeReP2S (PBE-GGA)

Data for a relaxed structure of BeReP2S.

Crystal system   tetragonal
Total energy   -0.38621 Ry per atom
Formation energy without anion corrections   4.8 eV/f.u.
Energy above the most stable polymorph in this dataset   0.0 meV per atom

CIF file:
```
data_BeReP2S
_chemical_formula_sum 'Be1 Re1 P2 S1'
_symmetry_space_group_name_H-M 'P 4/m m m'
_symmetry_Int_Tables_number 123
_symmetry_space_group_name_Hall '-P 4 2'
_cell_length_a 4.627
_cell_length_b 4.627
_cell_length_c 4.678
_cell_angle_alpha 90.00
_cell_angle_beta 90.00
_cell_angle_gamma 90.00
loop_
_atom_site_label
_atom_site_type_symbol
_atom_site_fract_x
_atom_site_fract_y
_atom_site_fract_z
Be1 Be 0.000 0.000 0.000
Re1 Re 0.500 0.500 0.500
P1 P 0.000 0.500 0.500
S1 S 0.500 0.500 0.000
```

***

No. 5
## BeReP2S (PBE-GGA)

Data for a relaxed structure of BeReP2S.

Crystal system   tetragonal
Total energy   -0.37684 Ry per atom
Formation energy without anion corrections   5.5 eV/f.u.
Energy above the most stable polymorph in this dataset   127.5 meV per atom

CIF file:
```
data_BeReP2S
_chemical_formula_sum 'Be1 Re1 P2 S1'
_symmetry_space_group_name_H-M 'P 4/m m m'
_symmetry_Int_Tables_number 123
_symmetry_space_group_name_Hall '-P 4 2'
_cell_length_a 4.020
_cell_length_b 4.020
_cell_length_c 4.394
_cell_angle_alpha 90.00
_cell_angle_beta 90.00
_cell_angle_gamma 90.00
loop_
_atom_site_label
_atom_site_type_symbol
_atom_site_fract_x
_atom_site_fract_y
_atom_site_fract_z
Be1 Be 0.000 0.000 0.000
Re1 Re 0.500 0.500 0.500
P1 P 0.000 0.500 0.000
S1 S 0.000 0.000 0.500
```

***

No. 6
## BePRh (PBE-GGA)

Data for a relaxed structure of BePRh.

Crystal system   orthorhombic
Total energy   -0.43508 Ry per atom
Energy above the most stable polymorph in this dataset   54.3 meV per atom

CIF file:
```
data_BePRh
_chemical_formula_sum 'Be4 P4 Rh4'
_symmetry_space_group_name_H-M 'C m c 21'
_symmetry_Int_Tables_number 36
_cell_length_a 3.360
_cell_length_b 7.794
_cell_length_c 5.761
_cell_angle_alpha 90.00
_cell_angle_beta 90.00
_cell_angle_gamma 90.00
loop_
_symmetry_equiv_pos_as_xyz
'x,y,z'
'-x,-y,z+1/2'
'-x,y,z'
'x,-y,z+1/2'
'x+1/2,y+1/2,z'
'-x+1/2,-y+1/2,z+1/2'
'-x+1/2,y+1/2,z'
'x+1/2,-y+1/2,z+1/2'
loop_
_atom_site_label
_atom_site_type_symbol
_atom_site_fract_x
_atom_site_fract_y
_atom_site_fract_z
Be1 Be 0.000 0.102 0.000
P1 P 0.000 0.305 0.253
Rh1 Rh 0.000 0.407 0.857
```

***

No. 7
## BePRh (PBE-GGA)

Data for a relaxed structure of BePRh.

Crystal system   cubic
Total energy   -0.42700 Ry per atom
Energy above the most stable polymorph in this dataset   164.2 meV per atom

CIF file:
```
data_BePRh
_chemical_formula_sum 'Be4 P4 Rh4'
_symmetry_space_group_name_H-M 'F -4 3 m'
_symmetry_Int_Tables_number 216
_symmetry_space_group_name_Hall 'F -4 2 3'
_cell_length_a 5.450
_cell_length_b 5.450
_cell_length_c 5.450
_cell_angle_alpha 90.00
_cell_angle_beta 90.00
_cell_angle_gamma 90.00
loop_
_atom_site_label
_atom_site_type_symbol
_atom_site_fract_x
_atom_site_fract_y
_atom_site_fract_z
Be1 Be 0.000 0.000 0.000
P1 P 0.000 0.000 0.500
Rh1 Rh 0.250 0.250 0.750
```

***

No. 8
## BePRh (PBE-GGA)

Data for a relaxed structure of BePRh.

Crystal system   monoclinic
Total energy   -0.43613 Ry per atom
Energy above the most stable polymorph in this dataset   40.0 meV per atom

CIF file:
```
data_BePRh
_chemical_formula_sum 'Be4 P4 Rh4'
_symmetry_space_group_name_H-M 'C 1 m 1'
_symmetry_Int_Tables_number 8
_cell_length_a 7.745
_cell_length_b 3.384
_cell_length_c 6.042
_cell_angle_alpha 90.00
_cell_angle_beta 104.83
_cell_angle_gamma 90.00
loop_
_symmetry_equiv_pos_as_xyz
'x,y,z'
'x,-y,z'
'x+1/2,y+1/2,z'
'x+1/2,-y+1/2,z'
loop_
_atom_site_label
_atom_site_type_symbol
_atom_site_fract_x
_atom_site_fract_y
_atom_site_fract_z
Be1 Be 0.000 0.000 0.000
Be2 Be 0.102 0.000 0.719
P1 P 0.297 0.500 0.664
P2 P 0.458 0.000 0.216
Rh1 Rh 0.206 0.500 0.010
Rh2 Rh 0.209 0.000 0.396
```

***

No. 9
## BePRh (PBE-GGA)

Data for a relaxed structure of BePRh.

Crystal system   triclinic
Total energy   -0.43699 Ry per atom
Energy above the most stable polymorph in this dataset   28.2 meV per atom

CIF file:
```
data_BePRh
_chemical_formula_sum 'Be2 P2 Rh2'
_symmetry_space_group_name_H-M 'P 1'
_symmetry_Int_Tables_number 1
_cell_length_a 3.591
_cell_length_b 4.209
_cell_length_c 5.284
_cell_angle_alpha 102.68
_cell_angle_beta 91.93
_cell_angle_gamma 91.71
loop_
_symmetry_equiv_pos_as_xyz
'x,y,z'
loop_
_atom_site_label
_atom_site_type_symbol
_atom_site_fract_x
_atom_site_fract_y
_atom_site_fract_z
Be1 Be 0.000 0.000 0.000
Be2 Be 0.486 0.548 0.474
P1 P 0.472 0.694 0.917
P2 P 0.981 0.129 0.437
Rh1 Rh 0.502 0.150 0.735
Rh2 Rh 0.959 0.545 0.174
```

***

No. 10
## BePRh4 (PBE-GGA)

Data for a relaxed structure of BePRh4.

Crystal system   cubic
Total energy   -0.43134 Ry per atom

CIF file:
```
data_BePRh4
_chemical_formula_sum 'Be4 P4 Rh16'
_symmetry_space_group_name_H-M 'F -4 3 m'
_symmetry_Int_Tables_number 216
_symmetry_space_group_name_Hall 'F -4 2 3'
_cell_length_a 7.163
_cell_length_b 7.163
_cell_length_c 7.163
_cell_angle_alpha 90.00
_cell_angle_beta 90.00
_cell_angle_gamma 90.00
loop_
_atom_site_label
_atom_site_type_symbol
_atom_site_fract_x
_atom_site_fract_y
_atom_site_fract_z
Be1 Be 0.000 0.000 0.000
P1 P 0.250 0.250 0.750
Rh1 Rh 0.125 0.125 0.375
```

***

No. 11
## BePRh (PBE-GGA)

Data for a relaxed structure of BePRh.

Crystal system   tetragonal
Total energy   -0.43869 Ry per atom
Energy above the most stable polymorph in this dataset   5.2 meV per atom

CIF file:
```
data_BePRh
_chemical_formula_sum 'Be4 P4 Rh4'
_symmetry_space_group_name_H-M 'I 4/m m m'
_symmetry_Int_Tables_number 139
_symmetry_space_group_name_Hall '-I 4 2'
_cell_length_a 3.941
_cell_length_b 3.941
_cell_length_c 9.923
_cell_angle_alpha 90.00
_cell_angle_beta 90.00
_cell_angle_gamma 90.00
loop_
_atom_site_label
_atom_site_type_symbol
_atom_site_fract_x
_atom_site_fract_y
_atom_site_fract_z
Be1 Be 0.000 0.000 0.138
P1 P 0.000 0.000 0.351
Rh1 Rh 0.000 0.500 0.000
```

***

No. 12
## BePRh (PBE-GGA)

Data for a relaxed structure of BePRh.

Crystal system   monoclinic
Total energy   -0.43590 Ry per atom
Energy above the most stable polymorph in this dataset   43.1 meV per atom

CIF file:
```
data_BePRh
_chemical_formula_sum 'Be2 P2 Rh2'
_symmetry_space_group_name_H-M 'C 1 m 1'
_symmetry_Int_Tables_number 8
_cell_length_a 6.056
_cell_length_b 3.522
_cell_length_c 4.179
_cell_angle_alpha 90.00
_cell_angle_beta 118.91
_cell_angle_gamma 90.00
loop_
_symmetry_equiv_pos_as_xyz
'x,y,z'
'x,-y,z'
'x+1/2,y+1/2,z'
'x+1/2,-y+1/2,z'
loop_
_atom_site_label
_atom_site_type_symbol
_atom_site_fract_x
_atom_site_fract_y
_atom_site_fract_z
Be1 Be 0.000 0.000 0.000
P1 P 0.070 0.500 0.717
Rh1 Rh 0.288 0.500 0.369
```

***

> The highest total energy belongs to which entry?

number 5